1.
This record from Alexandria via LeMat-Bulk describes crystalline Ag4Rh at its relaxed geometry. The functional is GGA-PBEsol.

```
data_Ag4Rh
_chemical_formula_sum 'Ag8 Rh2'
_symmetry_space_group_name_H-M 'I 4/m'
_symmetry_Int_Tables_number 87
_symmetry_space_group_name_Hall '-I 4'
_cell_length_a 6.285
_cell_length_b 6.285
_cell_length_c 4.016
_cell_angle_alpha 90.00
_cell_angle_beta 90.00
_cell_angle_gamma 90.00
loop_
_atom_site_label
_atom_site_fract_x
_atom_site_fract_y
_atom_site_fract_z
_atom_site_occupancy
Ag1 0.101 0.702 0.000 1
Rh1 0.000 0.000 0.500 1
```

Output
V in Å³/cell: 158.6
Formation energy from the elements in eV/f.u.: 0.8
Calculated density in g/cm³: 11.19
DFT total energy in eV per atom: -4.11

2.
This record from Alexandria via LeMat-Bulk describes crystalline Ag2Rh at its relaxed geometry. The functional is GGA-PBEsol.

```
data_Ag2Rh
_chemical_formula_sum 'Ag4 Rh2'
_symmetry_space_group_name_H-M 'I 4/m m m'
_symmetry_Int_Tables_number 139
_symmetry_space_group_name_Hall '-I 4 2'
_cell_length_a 2.729
_cell_length_b 2.729
_cell_length_c 12.429
_cell_angle_alpha 90.00
_cell_angle_beta 90.00
_cell_angle_gamma 90.00
loop_
_atom_site_label
_atom_site_fract_x
_atom_site_fract_y
_atom_site_fract_z
_atom_site_occupancy
Ag1 0.000 0.000 0.164 1
Rh1 0.000 0.000 0.500 1
```

Output
V in Å³/cell: 92.6
Formation energy from the elements in eV/f.u.: 0.7
Polymorph energy (0 for the lowest one) in eV per atom: 0.059
Calculated density in g/cm³: 11.43
DFT total energy in eV per atom: -4.69

3.
This record from Alexandria via LeMat-Bulk describes crystalline Ag8Rh at its relaxed geometry. The functional is GGA-PBEsol.

```
data_Ag8Rh
_chemical_formula_sum 'Ag16 Rh2'
_symmetry_space_group_name_H-M 'I 4/m m m'
_symmetry_Int_Tables_number 139
_symmetry_space_group_name_Hall '-I 4 2'
_cell_length_a 8.474
_cell_length_b 8.474
_cell_length_c 4.051
_cell_angle_alpha 90.00
_cell_angle_beta 90.00
_cell_angle_gamma 90.00
loop_
_atom_site_label
_atom_site_fract_x
_atom_site_fract_y
_atom_site_fract_z
_atom_site_occupancy
Ag1 0.000 0.331 0.000 1
Ag2 0.165 0.165 0.500 1
Rh1 0.000 0.000 0.000 1
```

Output
V in Å³/cell: 290.9
Formation energy from the elements in eV/f.u.: 0.8
Calculated density in g/cm³: 11.03
DFT total energy in eV per atom: -3.76